1.
CrHgC3 | GGA-PBE | optimized geometry

Cell: 4.185 4.185 4.185 Å, 90.00 90.00 90.00°
Space group Pm-3m (No. 221)
Unique sites:
Cr  0.000  0.000  0.000 (multiplicity 1)
Hg  0.500  0.500  0.500 (multiplicity 1)
C  0.000  0.500  0.500 (multiplicity 3)

Computed properties:
Size of the total moment in μB/cell: 0.30
V in Å³ per atom: 14.66
E_form in eV/atom: 3.83
DFT total energy in eV per atom: -3.689
Distance to the lowest polymorph of the same formula in meV per atom: 1929

2.
LaThCS | GGA-PBE | optimized geometry

Cell: 3.961 3.961 5.677 Å, 90.00 90.00 90.00°
Space group P4/mmm (No. 123)
Unique sites:
La  0.000  0.000  0.000 (multiplicity 1)
Th  0.500  0.500  0.500 (multiplicity 1)
C  0.000  0.000  0.500 (multiplicity 1)
S  0.500  0.500  0.000 (multiplicity 1)

Computed properties:
Size of the total moment in μB/cell: 0.00
ΔE_f (raw) in eV/f.u.: -4.14
V in Å³ per atom: 22.27
DFT total energy in eV per atom: -7.459

3.
Pm3Nd2Ga4 | GGA-PBE | optimized geometry

Cell: 7.152 15.668 8.882 Å, 90.00 90.00 90.00°
Space group Cmce (No. 64)
Unique sites:
Pm  0.000  0.000  0.000 (multiplicity 4)
Pm  0.250  0.219  0.250 (multiplicity 8)
Nd  0.000  0.106  0.573 (multiplicity 8)
Ga  0.000  0.190  0.968 (multiplicity 8)
Ga  0.250  0.027  0.250 (multiplicity 8)

Computed properties:
Size of the total moment in μB/cell: 0.00
V in Å³ per atom: 27.65
E_form in eV/atom: -0.39
DFT total energy in eV per atom: -4.382
Distance to the lowest polymorph of the same formula in meV per atom: 137

Q: Among the records above, which one has the highest size of the total moment?
A: CrHgC3